# 1
Computed, not measured: a relaxed Li2DyErS4 crystal at the PBE level of DFT.

```
8
Lattice="-2.9852 -2.4966 0.2030 2.4651 -3.3780 -5.2942 2.4413 -2.4662 5.5695" Properties=species:S:1:pos:R:3 pbc="T T T"
Dy 0.0000 0.0000 0.0000
Li 2.4532 -2.9221 0.1377
S 2.4513 -3.1400 -2.5697
Li -0.2720 -2.4814 2.8862
Er -0.2600 -2.9373 -2.5456
S 2.1826 -5.6253 0.3164
S -0.2614 -2.7156 0.1620
S 2.4551 -2.7043 2.8450
```

Summary:
**N(E_F)**: 0.00 states/eV/f.u.
**Uncorrected formation energy**: -1431 kJ/mol of formula units
**Symmetry**: No. 10
**Calculated volume**: 20.27 A^3/atom


# 2
Computed, not measured: a relaxed LiDy2Er3S6 crystal at the PBE level of DFT.

```
12
Lattice="6.6925 -0.0085 -0.0036 -3.3520 5.7926 -0.0036 -1.1179 -1.9357 6.3120" Properties=species:S:1:pos:R:3 pbc="T T T"
Er -2.2438 3.8619 3.1523
S -0.0366 -0.0634 4.7569
Dy 0.0047 3.8539 -0.0036
S 2.1761 -0.0066 1.5732
Li 0.0000 0.0000 0.0000
S 2.2592 3.9117 1.5478
Er 4.4664 -0.0135 3.1523
S 3.3158 1.9668 4.7315
S -1.0932 1.8815 1.5732
Er 1.1113 1.9242 3.1523
S 0.0465 3.8550 4.7315
Dy 3.3358 1.9301 -0.0036
```

Summary:
**N(E_F)**: 4.66 states/eV/f.u.
**Uncorrected formation energy**: -2256 kJ/mol of formula units
**Symmetry**: No. 12
**Calculated volume**: 20.37 A^3/atom


Magnetic moment? In order: 0.00; 0.00 μB per cell.